! In2AgBr | the Alexandria database | PBE-GGA | relaxed; values from VASP
&SYSTEM
  ibrav = 0, nat = 4, ntyp = 3
/
ATOMIC_SPECIES
In 114.82 In.upf
Ag 107.87 Ag.upf
Br 79.90 Br.upf
CELL_PARAMETERS angstrom
3.675 0.000 0.000
0.000 3.675 0.000
0.000 0.000 7.659
ATOMIC_POSITIONS angstrom
In 0.000 0.000 0.000
In 1.838 1.838 2.100
Ag 0.000 0.000 3.561
Br 1.838 1.838 5.468
! Crystal system: tetragonal
! Formation energy from raw total energies, meV per atom: -103
! Energy relative to the lowest polymorph listed for this composition, eV/f.u.: 0.25
! ρ, g cm⁻³: 6.7